CrSbRu2 | Alexandria via LeMat-Bulk | PBE | relaxed; final energy = -7.9146 eV/atom; N(E_F) = 3.04 states/eV per cell; space-group type = C2/m; crystal system = monoclinic; M_tot = 1.978 μB/f.u.
1.0
-3.7475 1.0652 -2.4664
-4.5672 0.5479 0.3192
-0.3088 4.7973 0.8000
Cr Ru Sb
1 2 1
Direct
0.2500 0.2500 0.2500
0.9915 0.9915 0.0224
0.5085 0.5085 0.4776
0.7500 0.7500 0.7500

CrSbRu2 | Alexandria via LeMat-Bulk | PBE | relaxed; final energy = -7.6131 eV/atom; N(E_F) = 3.72 states/eV per cell; space-group type = R3m; crystal system = trigonal; M_tot = 0.000 μB/f.u.
1.0
-6.4826 -0.9117 -5.4531
-5.9589 -3.7163 -4.8241
-7.6612 -2.1184 -3.0676
Cr Ru Sb
1 2 1
Direct
0.7460 0.7460 0.7460
0.0044 0.0044 0.0044
0.2506 0.2506 0.2506
0.4989 0.4989 0.4989

Cr3SbRu | Alexandria via LeMat-Bulk | PBE | relaxed; final energy = -7.4093 eV/atom; N(E_F) = 5.07 states/eV per cell; space-group type = Pm-3m; crystal system = cubic; M_tot = 9.745 μB/f.u.
1.0
-0.9265 -1.2978 -4.4215
4.5914 0.1225 -0.9980
0.3908 -4.5159 1.2436
Sb Cr Ru
1 3 1
Direct
0.5000 0.5000 0.5000
0.0000 0.5000 0.0000
0.0000 0.0000 0.5000
0.5000 0.0000 0.0000
0.0000 0.0000 0.0000

Cr2SbRu2 | Alexandria via LeMat-Bulk | PBE | relaxed; N(E_F) = 8.37 states/eV per cell; excess energy over the best structure of this formula in the dataset = 0 meV per atom; space-group type = P4/mbm; crystal system = tetragonal; M_tot = 2.925 μB/f.u.
1.0
-1.1264 -7.1490 -1.0282
6.6744 -0.6327 -2.9131
1.0839 -0.5450 2.6017
Sb Cr Ru
2 4 4
Direct
0.0000 0.0000 0.0000
0.5000 0.5000 0.0000
0.1570 0.6570 0.5000
0.6570 0.8430 0.5000
0.8430 0.3430 0.5000
0.3430 0.1570 0.5000
0.3673 0.8673 0.0000
0.8673 0.6327 0.0000
0.6327 0.1327 0.0000
0.1327 0.3673 0.0000

Cr2SbRu | Alexandria via LeMat-Bulk | PBE | relaxed; final energy = -7.9140 eV/atom; N(E_F) = 3.52 states/eV per cell; space-group type = Pmm2; crystal system = orthorhombic; M_tot = 0.228 μB/f.u.
1.0
4.3436 0.0000 0.0000
0.0000 3.0219 -0.0296
0.0000 0.0450 4.6614
Cr Ru Sb
2 1 1
Direct
0.0000 0.1248 0.9881
0.5000 0.1250 0.2723
0.0000 0.6252 0.4531
0.5000 0.6249 0.7865

CrSbRu2 | Alexandria via LeMat-Bulk | PBE | relaxed; final energy = -7.7262 eV/atom; N(E_F) = 5.00 states/eV per cell; space-group type = Pmmm; crystal system = orthorhombic; M_tot = 1.787 μB/f.u.
1.0
3.0924 0.0000 0.0000
0.0000 4.5807 0.0000
0.0000 0.0000 4.3150
Cr Ru Sb
1 2 1
Direct
0.0000 0.5000 0.5000
0.0000 0.0000 0.0000
0.5000 0.5000 0.0000
0.5000 0.0000 0.5000